Record 1
{
  "formula": "HoTmMg6",
  "functional": "PBE",
  "state": "relaxed",
  "delta_e_f_ev_per_atom": -0.059,
  "final_energy_ev_per_atom": -2.39,
  "space_group": "Amm2, No. 38",
  "cell": [[5.059, 0.000, 0.000], [0.000, 3.646, 5.410], [0.000, -3.646, 5.410]],
  "species": ["Ho", "Tm", "Mg", "Mg", "Mg", "Mg", "Mg", "Mg"],
  "frac_coords": [[0.000, 0.000, 0.000], [0.500, 0.742, 0.742], [0.000, 0.054, 0.487], [0.000, 0.487, 0.054], [0.000, 0.541, 0.541], [0.500, 0.202, 0.202], [0.500, 0.256, 0.688], [0.500, 0.688, 0.256]]
}

---

Record 2
{
  "formula": "K2IrRh",
  "functional": "PBE",
  "state": "relaxed",
  "e_above_lowest_polymorph_ev_per_atom": 0.503,
  "delta_e_f_ev_per_atom": 0.881,
  "final_energy_ev_per_atom": -3.72,
  "space_group": "I4/mmm, No. 139",
  "cell": [[-1.982, 1.982, 5.356], [1.982, -1.982, 5.356], [1.982, 1.982, -5.356]],
  "species": ["K", "K", "Ir", "Rh"],
  "frac_coords": [[0.250, 0.750, 0.500], [0.750, 0.250, 0.500], [0.000, 0.000, 0.000], [0.500, 0.500, 0.000]]
}

---

Record 3
{
  "formula": "Ti4Pd2Pt3",
  "functional": "PBE",
  "state": "relaxed",
  "delta_e_f_ev_per_atom": -0.778,
  "final_energy_ev_per_atom": -7.45,
  "space_group": "C2/m, No. 12",
  "cell": [[4.365, -1.992, 0.000], [4.365, 1.992, 0.000], [-2.135, 0.000, 8.086]],
  "species": ["Ti", "Ti", "Ti", "Ti", "Pd", "Pd", "Pt", "Pt", "Pt"],
  "frac_coords": [[0.021, 0.021, 0.341], [0.334, 0.334, 0.111], [0.666, 0.666, 0.889], [0.979, 0.979, 0.659], [0.332, 0.332, 0.784], [0.668, 0.668, 0.216], [0.000, 0.000, 0.000], [0.339, 0.339, 0.432], [0.661, 0.661, 0.568]]
}

---

Record 4
{
  "formula": "CrS2",
  "functional": "PBE",
  "state": "relaxed",
  "formation_energy_uncorrected_ev_per_atom": -0.357,
  "final_energy_ev_per_atom": -6.32,
  "space_group": "I-42d, No. 122",
  "cell": [[-2.745, 2.745, 4.876], [2.745, -2.745, 4.876], [2.745, 2.745, -4.876]],
  "species": ["Cr", "Cr", "S", "S", "S", "S"],
  "frac_coords": [[0.000, 0.000, 0.000], [0.750, 0.250, 0.500], [0.089, 0.625, 0.964], [0.375, 0.339, 0.464], [0.661, 0.125, 0.036], [0.875, 0.911, 0.536]]
}

---

Record 5
{
  "formula": "ZrTaCl2",
  "functional": "PBE",
  "state": "relaxed",
  "e_above_lowest_polymorph_ev_per_atom": 1.167,
  "formation_energy_uncorrected_ev_per_atom": 0.289,
  "final_energy_ev_per_atom": -5.73,
  "space_group": "P4/mmm, No. 123",
  "cell": [[4.290, 0.000, 0.000], [0.000, 4.290, 0.000], [0.000, 0.000, 3.836]],
  "species": ["Zr", "Ta", "Cl", "Cl"],
  "frac_coords": [[0.000, 0.000, 0.000], [0.500, 0.500, 0.000], [0.000, 0.500, 0.500], [0.500, 0.000, 0.500]]
}

---

Record 6
{
  "formula": "Li2CdOs",
  "functional": "PBE",
  "state": "relaxed",
  "delta_e_f_ev_per_atom": 0.246,
  "final_energy_ev_per_atom": -3.75,
  "space_group": "Immm, No. 71",
  "cell": [[-1.371, 2.436, 4.744], [1.371, -2.436, 4.744], [1.371, 2.436, -4.744]],
  "species": ["Li", "Li", "Cd", "Os"],
  "frac_coords": [[0.243, 0.243, 0.000], [0.757, 0.757, 0.000], [0.500, 0.000, 0.500], [0.000, 0.500, 0.500]]
}

---

Record 7
{
  "formula": "ZnHg2PbI",
  "functional": "PBE",
  "state": "relaxed",
  "formation_energy_uncorrected_ev_per_atom": -0.003,
  "final_energy_ev_per_atom": -1.43,
  "space_group": "P4/mmm, No. 123",
  "cell": [[5.272, 0.000, 0.000], [0.000, 5.272, 0.000], [0.000, 0.000, 5.652]],
  "species": ["Zn", "Hg", "Hg", "Pb", "I"],
  "frac_coords": [[0.000, 0.000, 0.000], [0.000, 0.500, 0.000], [0.500, 0.000, 0.000], [0.000, 0.000, 0.500], [0.500, 0.500, 0.500]]
}

---

Record 8
{
  "formula": "Sm2TlTeO8",
  "functional": "PBE",
  "state": "relaxed",
  "formation_energy_uncorrected_ev_per_atom": -1.857,
  "final_energy_ev_per_atom": -6.41,
  "space_group": "C2/m, No. 12",
  "cell": [[3.317, -3.558, 0.000], [3.317, 3.558, 0.000], [-0.309, 0.000, 7.460]],
  "species": ["Sm", "Sm", "Tl", "Te", "O", "O", "O", "O", "O", "O", "O", "O"],
  "frac_coords": [[0.048, 0.048, 0.256], [0.952, 0.952, 0.744], [0.500, 0.500, 0.000], [0.500, 0.500, 0.500], [0.196, 0.196, 0.979], [0.214, 0.214, 0.541], [0.264, 0.627, 0.306], [0.373, 0.736, 0.694], [0.627, 0.264, 0.306], [0.736, 0.373, 0.694], [0.786, 0.786, 0.459], [0.804, 0.804, 0.021]]
}

---

Record 9
{
  "formula": "Zn3Ga7",
  "functional": "PBE",
  "state": "relaxed",
  "e_above_lowest_polymorph_ev_per_atom": 0.000,
  "delta_e_f_ev_per_atom": 0.046,
  "final_energy_ev_per_atom": -2.46,
  "space_group": "C2/m, No. 12",
  "cell": [[7.196, -2.080, 0.000], [7.196, 2.080, 0.000], [-1.060, 0.000, 5.908]],
  "species": ["Zn", "Zn", "Zn", "Ga", "Ga", "Ga", "Ga", "Ga", "Ga", "Ga"],
  "frac_coords": [[0.000, 0.000, 0.000], [0.201, 0.201, 0.597], [0.799, 0.799, 0.403], [0.000, 0.000, 0.500], [0.201, 0.201, 0.105], [0.397, 0.397, 0.693], [0.402, 0.402, 0.197], [0.598, 0.598, 0.803], [0.603, 0.603, 0.307], [0.799, 0.799, 0.895]]
}

---

Record 10
{
  "formula": "NaSr4Rh",
  "functional": "PBE",
  "state": "relaxed",
  "e_above_lowest_polymorph_ev_per_atom": 0.049,
  "delta_e_f_ev_per_atom": -0.074,
  "final_energy_ev_per_atom": -2.64,
  "space_group": "C2/c, No. 15",
  "cell": [[5.316, -8.159, 0.000], [5.316, 8.159, 0.000], [-3.781, 0.000, 6.426]],
  "species": ["Na", "Na", "Sr", "Sr", "Sr", "Sr", "Sr", "Sr", "Sr", "Sr", "Rh", "Rh"],
  "frac_coords": [[0.101, 0.899, 0.750], [0.899, 0.101, 0.250], [0.141, 0.550, 0.326], [0.263, 0.366, 0.801], [0.366, 0.263, 0.301], [0.450, 0.859, 0.174], [0.550, 0.141, 0.826], [0.634, 0.737, 0.699], [0.737, 0.634, 0.199], [0.859, 0.450, 0.674], [0.422, 0.578, 0.250], [0.578, 0.422, 0.750]]
}

---

Record 11
{
  "formula": "PmPrTm4",
  "functional": "PBE",
  "state": "relaxed",
  "e_above_lowest_polymorph_ev_per_atom": 0.259,
  "delta_e_f_ev_per_atom": 0.281,
  "final_energy_ev_per_atom": -4.29,
  "space_group": "F-43m, No. 216",
  "cell": [[0.000, 4.694, 4.694], [4.694, 0.000, 4.694], [4.694, 4.694, 0.000]],
  "species": ["Pm", "Pr", "Tm", "Tm", "Tm", "Tm"],
  "frac_coords": [[0.000, 0.000, 0.000], [0.250, 0.250, 0.250], [0.124, 0.625, 0.625], [0.625, 0.124, 0.625], [0.625, 0.625, 0.124], [0.625, 0.625, 0.625]]
}

---

Record 12
{
  "formula": "SrScS2Cl",
  "functional": "PBE",
  "state": "relaxed",
  "e_above_lowest_polymorph_ev_per_atom": 0.000,
  "formation_energy_uncorrected_ev_per_atom": -1.887,
  "final_energy_ev_per_atom": -5.51,
  "space_group": "P4/mmm, No. 123",
  "cell": [[5.016, 0.000, 0.000], [0.000, 5.016, 0.000], [0.000, 0.000, 4.904]],
  "species": ["Sr", "Sc", "S", "S", "Cl"],
  "frac_coords": [[0.000, 0.000, 0.000], [0.500, 0.500, 0.500], [0.000, 0.500, 0.500], [0.500, 0.000, 0.500], [0.500, 0.500, 0.000]]
}

---

Record 13
{
  "formula": "Ac2SbI",
  "functional": "PBE",
  "state": "relaxed",
  "e_above_lowest_polymorph_ev_per_atom": 0.097,
  "formation_energy_uncorrected_ev_per_atom": -1.001,
  "final_energy_ev_per_atom": -4.47,
  "space_group": "P4/mmm, No. 123",
  "cell": [[4.115, 0.000, 0.000], [0.000, 4.115, 0.000], [0.000, 0.000, 8.194]],
  "species": ["Ac", "Ac", "Sb", "I"],
  "frac_coords": [[0.000, 0.000, 0.230], [0.000, 0.000, 0.770], [0.500, 0.500, 0.000], [0.500, 0.500, 0.500]]
}

---

Record 14
{
  "formula": "InMoOs",
  "functional": "PBE",
  "state": "relaxed",
  "e_above_lowest_polymorph_ev_per_atom": 0.119,
  "delta_e_f_ev_per_atom": 0.304,
  "final_energy_ev_per_atom": -7.96,
  "space_group": "P3m1, No. 156",
  "cell": [[2.908, 0.000, 0.000], [-1.454, 2.519, 0.000], [0.000, 0.000, 6.938]],
  "species": ["In", "Mo", "Os"],
  "frac_coords": [[0.000, 0.000, 0.000], [0.667, 0.333, 0.358], [0.333, 0.667, 0.651]]
}

---

Record 15
{
  "formula": "Pm6In2C",
  "functional": "PBE",
  "state": "relaxed",
  "e_above_lowest_polymorph_ev_per_atom": 0.000,
  "delta_e_f_ev_per_atom": -0.336,
  "final_energy_ev_per_atom": -5.14,
  "space_group": "Fm-3m, No. 225",
  "cell": [[0.000, 5.042, 5.042], [5.042, 0.000, 5.042], [5.042, 5.042, 0.000]],
  "species": ["Pm", "Pm", "Pm", "Pm", "Pm", "Pm", "In", "In", "C"],
  "frac_coords": [[0.245, 0.245, 0.755], [0.245, 0.755, 0.245], [0.245, 0.755, 0.755], [0.755, 0.245, 0.245], [0.755, 0.245, 0.755], [0.755, 0.755, 0.245], [0.250, 0.250, 0.250], [0.750, 0.750, 0.750], [0.000, 0.000, 0.000]]
}

---

Record 16
{
  "formula": "MgCdPd5",
  "functional": "PBE",
  "state": "relaxed",
  "e_above_lowest_polymorph_ev_per_atom": 0.552,
  "delta_e_f_ev_per_atom": 0.335,
  "final_energy_ev_per_atom": -3.73,
  "space_group": "Imm2, No. 44",
  "cell": [[-2.601, 4.400, 3.748], [2.601, -4.400, 3.748], [2.601, 4.400, -3.748]],
  "species": ["Mg", "Cd", "Pd", "Pd", "Pd", "Pd", "Pd"],
  "frac_coords": [[0.000, 0.000, 0.000], [0.658, 0.158, 0.500], [0.041, 0.541, 0.500], [0.114, 0.368, 0.746], [0.339, 0.090, 0.751], [0.339, 0.588, 0.249], [0.621, 0.368, 0.254]]
}

---

Record 17
{
  "formula": "ScIrSe2",
  "functional": "PBE",
  "state": "relaxed",
  "e_above_lowest_polymorph_ev_per_atom": 0.352,
  "formation_energy_uncorrected_ev_per_atom": -0.544,
  "final_energy_ev_per_atom": -6.08,
  "space_group": "I-42d, No. 122",
  "cell": [[-2.414, 2.414, 7.517], [2.414, -2.414, 7.517], [2.414, 2.414, -7.517]],
  "species": ["Sc", "Sc", "Ir", "Ir", "Se", "Se", "Se", "Se"],
  "frac_coords": [[0.000, 0.000, 0.000], [0.750, 0.250, 0.500], [0.250, 0.750, 0.500], [0.500, 0.500, 0.000], [0.157, 0.625, 0.032], [0.375, 0.407, 0.532], [0.593, 0.125, 0.968], [0.875, 0.843, 0.468]]
}

---

Record 18
{
  "formula": "HgH2Ir",
  "functional": "PBE",
  "state": "relaxed",
  "e_above_lowest_polymorph_ev_per_atom": 0.118,
  "final_energy_ev_per_atom": -3.61,
  "space_group": "I4_1/amd, No. 141",
  "cell": [[-2.009, 2.009, 5.774], [2.009, -2.009, 5.774], [2.009, 2.009, -5.774]],
  "species": ["Hg", "Hg", "H", "H", "H", "H", "Ir", "Ir"],
  "frac_coords": [[0.375, 0.625, 0.750], [0.625, 0.375, 0.250], [0.000, 0.000, 0.000], [0.000, 0.000, 0.500], [0.000, 0.500, 0.000], [0.500, 0.000, 0.500], [0.125, 0.875, 0.250], [0.875, 0.125, 0.750]]
}

---

Record 19
{
  "formula": "Na2ThTlTe4",
  "functional": "PBE",
  "state": "relaxed",
  "formation_energy_uncorrected_ev_per_atom": -0.854,
  "final_energy_ev_per_atom": -3.98,
  "space_group": "P2/m, No. 10",
  "cell": [[7.958, 0.000, 0.000], [0.000, 4.534, 0.000], [-2.699, 0.000, 7.585]],
  "species": ["Na", "Na", "Th", "Tl", "Te", "Te", "Te", "Te"],
  "frac_coords": [[0.000, 0.000, 0.000], [0.000, 0.500, 0.500], [0.500, 0.000, 0.500], [0.500, 0.500, 0.000], [0.259, 0.500, 0.264], [0.260, 0.000, 0.741], [0.740, 0.000, 0.259], [0.741, 0.500, 0.736]]
}

---

no.,M_tot (μB per cell)
1,0.0
2,1.4
3,1.8
4,4.0
5,0.0
6,0.0
7,0.0
8,1.0
9,0.0
10,0.0
11,5.5
12,0.0
13,0.0
14,0.0
15,0.8
16,0.0
17,0.0
18,0.0
19,0.0